This record from Alexandria via LeMat-Bulk describes a relaxed Cs2SrPdO4 crystal. The functional is PBE.

Cell lengths 6.481, 7.861, 12.413 Å; angles 83.82, 74.87, 65.66 degrees
Each line ends with the local moment (μB).
Fractional coordinates of all 16 atoms:
Cs (0.190, 0.000, 0.620)  0.01
Cs (0.560, 0.500, 0.880)  0.01
Cs (0.940, 0.500, 0.120)  0.01
Cs (0.810, 0.000, 0.380)  0.01
Pd (0.250, 0.500, 0.500)  0.71
Pd (0.500, 0.000, 0.000)  0.71
O (0.549, 0.304, 0.521)  0.26
O (0.147, 0.304, 0.479)  0.26
O (0.930, 0.696, 0.521)  0.26
O (0.377, 0.804, 0.021)  0.26
O (0.373, 0.696, 0.479)  0.26
O (0.201, 0.196, 0.979)  0.26
O (0.820, 0.804, 0.979)  0.26
O (0.603, 0.196, 0.021)  0.26
Sr (0.000, 0.000, 0.000)  0.01
Sr (0.750, 0.500, 0.500)  0.01

Summary:
* SG: Fddd
* total magnetic moment: 4.06 μB per cell
* energy relative to the elements, uncorrected: -8.67 eV/f.u.
* calculated density: 3.1 Mg/m³